First-principles (PBEsol) data for a relaxed Ca2InAsI crystal, as listed in Alexandria via LeMat-Bulk.

Results
total DFT energy (no corrections)	-2.666	eV per atom
symmetry	P4/mmm
formation energy without anion corrections	0.8	eV/f.u.
total magnetization	0.00	μB/f.u.

The structure in extended XYZ format:
```
5
Lattice="5.690 0.000 0.000 0.000 5.690 0.000 0.000 0.000 5.775" Properties=species:S:1:pos:R:3 pbc="T T T"
I 0.000 0.000 0.000
As 2.845 2.845 2.888
Ca 0.000 2.845 0.000
Ca 2.845 0.000 0.000
In 0.000 0.000 2.888
```